VASP calculation (PBE+U) on a relaxed structure of Rb2ScMoF6.

Summary:
DFT total energy (eV/cell): -54.58
Total magnetization (μB/f.u.): 5.00

```
data_Rb2ScMoF6
_chemical_formula_sum 'Rb2 Sc1 Mo1 F6'
_cell_length_a 6.422
_cell_length_b 6.422
_cell_length_c 6.422
_cell_angle_alpha 115.72
_cell_angle_beta 115.72
_cell_angle_gamma 97.58
_space_group_name_H-M_alt 'P 1'
_space_group_IT_number 1
loop_
_space_group_symop_operation_xyz
'x,y,z'
loop_
_atom_site_label
_atom_site_type_symbol
_atom_site_fract_x
_atom_site_fract_y
_atom_site_fract_z
_atom_site_occupancy
Rb1 Rb 0.250 0.750 0.500 1
Rb2 Rb 0.750 0.250 0.500 1
Sc1 Sc 0.000 0.000 0.000 1
Mo1 Mo 0.500 0.500 0.000 1
F1 F 0.209 0.209 0.418 1
F2 F 0.209 0.791 0.000 1
F3 F 0.244 0.244 0.000 1
F4 F 0.756 0.756 0.000 1
F5 F 0.791 0.209 0.000 1
F6 F 0.791 0.791 0.582 1
```